LiYTe | Alexandria via LeMat-Bulk | PBE | relaxed; density of states at the Fermi level = 0.564 states/eV/atom; uncorrected formation energy = -0.374 eV per atom
1.0
0.0000 3.5357 3.5357
3.5357 0.0000 3.5357
3.5357 3.5357 0.0000
Li Y Te
1 1 1
Direct
0.0000 0.0000 0.0000 Li
0.2500 0.2500 0.2500 Y
0.5000 0.5000 0.5000 Te